A plane-wave DFT calculation with GGA-PBE was carried out for crystalline AcTl4Hg4 at its relaxed geometry.

Lattice parameters (Å, degrees): 4.6993 7.7986 7.7986 84.79 72.47 72.47
Fractional coordinates of all 9 atoms:
Tl1 0.0000 0.6649 0.3351
Tl2 0.0000 0.3351 0.6649
Tl3 0.3351 0.6649 0.6649
Tl4 0.6649 0.3351 0.3351
Ac1 0.0000 0.0000 0.0000
Hg1 0.6729 0.0000 0.6541
Hg2 0.6730 0.6541 0.0000
Hg3 0.3270 0.3459 0.0000
Hg4 0.3271 0.0000 0.3459

Results
* space-group type: I4/mmm (139)
* ΔE_f: -163 meV/atom
* DOS at the Fermi energy: 4.7 states/eV per cell